1.
First-principles (PBE) data for crystalline Ho5AlIn4 at its relaxed geometry, as listed in Alexandria via LeMat-Bulk.

Results
Calculated formation energy = -0.440 eV/atom

Unit cell a=3.645 b=3.645 c=19.297 alpha=90.00 beta=90.00 gamma=90.00
Fractional positions:
Ho 0.500 0.500 0.500
Al 0.000 0.000 0.000
In 0.000 0.000 0.397
In 0.000 0.000 0.193
Ho 0.500 0.500 0.091
In 0.000 0.000 0.603
In 0.000 0.000 0.807
Ho 0.500 0.500 0.294
Ho 0.500 0.500 0.909
Ho 0.500 0.500 0.706


2.
First-principles (PBE) data for crystalline Ce12PaSi6 at its relaxed geometry, as listed in Alexandria via LeMat-Bulk.

Results
Energy relative to the elements, uncorrected = -215 kJ/mol of formula units

Unit cell a=8.188 b=8.188 c=8.188 alpha=97.56 beta=97.56 gamma=97.56
Each line ends with the local moment (μB).
Fractional positions:
Ce 0.444 0.585 0.209  0.70
Ce 0.008 0.672 0.933  0.66
Ce 0.791 0.556 0.415  0.70
Ce 0.067 0.992 0.328  0.66
Si 0.701 0.885 0.364  -0.02
Ce 0.672 0.933 0.008  0.66
Ce 0.209 0.444 0.585  0.70
Ce 0.585 0.209 0.444  0.70
Ce 0.933 0.008 0.672  0.66
Pa 0.000 0.000 0.000  1.20
Ce 0.415 0.791 0.556  0.70
Ce 0.556 0.415 0.791  0.70
Si 0.364 0.701 0.885  -0.02
Si 0.115 0.636 0.299  -0.02
Ce 0.328 0.067 0.992  0.66
Si 0.299 0.115 0.636  -0.02
Si 0.885 0.364 0.701  -0.02
Si 0.636 0.299 0.115  -0.02
Ce 0.992 0.328 0.067  0.66


3.
First-principles (PBE) data for crystalline Pm4Pu at its relaxed geometry, as listed in Alexandria via LeMat-Bulk.

Results
Calculated formation energy = 0.471 eV/atom

Unit cell a=5.688 b=5.688 c=5.688 alpha=90.00 beta=90.00 gamma=90.00
Each line ends with the local moment (μB).
Fractional positions:
Pm 0.500 0.500 0.000  0.29
Pm 0.000 0.500 0.500  0.29
Pu 0.500 0.500 0.500  5.86
Pm 0.500 0.000 0.500  0.29
Pm 0.000 0.000 0.000  -0.07


4.
First-principles (PBE) data for crystalline TmMgAl2Au4 at its relaxed geometry, as listed in Alexandria via LeMat-Bulk.

Results
Calculated formation energy = -0.596 eV/atom

Unit cell a=4.490 b=4.490 c=8.924 alpha=75.43 beta=75.43 gamma=60.00
Fractional positions:
Au 0.609 0.609 0.173
Tm 0.000 0.000 0.000
Au 0.128 0.128 0.615
Al 0.756 0.756 0.731
Au 0.872 0.872 0.385
Al 0.244 0.244 0.269
Mg 0.500 0.500 0.500
Au 0.391 0.391 0.827


5.
First-principles (PBE) data for crystalline As3PdPt12Pb2 at its relaxed geometry, as listed in Alexandria via LeMat-Bulk.

Results
Calculated formation energy = 0.028 eV/atom

Unit cell a=7.689 b=7.689 c=7.689 alpha=65.00 beta=65.00 gamma=65.00
Fractional positions:
Pt 0.858 0.384 0.858
Pb 0.613 0.613 0.613
As 0.000 0.000 0.500
As 0.000 0.500 0.000
Pt 0.630 0.630 0.116
Pt 0.142 0.616 0.142
Pt 0.142 0.142 0.616
Pt 0.370 0.884 0.370
Pt 0.370 0.370 0.884
Pt 0.616 0.142 0.142
Pb 0.387 0.387 0.387
Pt 0.884 0.370 0.370
Pd 0.000 0.000 0.000
Pt 0.384 0.858 0.858
Pt 0.116 0.630 0.630
As 0.500 0.000 0.000
Pt 0.858 0.858 0.384
Pt 0.630 0.116 0.630


6.
First-principles (PBE) data for crystalline TbCu6Pt4 at its relaxed geometry, as listed in Alexandria via LeMat-Bulk.

Results
Calculated formation energy = -0.100 eV/atom

Unit cell a=6.438 b=6.438 c=6.438 alpha=83.66 beta=123.72 gamma=123.72
Fractional positions:
Pt 0.000 0.554 0.087
Cu 0.000 0.432 0.740
Cu 0.308 0.568 0.568
Tb 0.000 0.000 0.000
Pt 0.000 0.087 0.554
Cu 0.000 0.740 0.432
Pt 0.467 0.913 0.913
Cu 0.500 0.500 0.000
Pt 0.533 0.446 0.446
Cu 0.500 0.000 0.500
Cu 0.692 0.260 0.260


7.
First-principles (PBE) data for crystalline Na2Tm2UTe6 at its relaxed geometry, as listed in Alexandria via LeMat-Bulk.

Results
Energy relative to the elements, uncorrected = -1159 kJ/mol of formula units

Unit cell a=7.557 b=7.557 c=8.040 alpha=99.04 beta=99.04 gamma=119.89
Each line ends with the local moment (μB).
Fractional positions:
Te 0.411 0.079 0.730  -0.03
Te 0.079 0.411 0.730  -0.03
Na 0.167 0.833 0.000  0.00
Na 0.833 0.167 0.000  0.00
Te 0.741 0.741 0.727  -0.04
Tm 0.668 0.332 0.500  0.00
Te 0.921 0.589 0.270  -0.03
Tm 0.332 0.668 0.500  0.00
Te 0.589 0.921 0.270  -0.03
U 0.000 0.000 0.500  2.19
Te 0.259 0.259 0.273  -0.04


8.
First-principles (PBE) data for crystalline Na3GaAu at its relaxed geometry, as listed in Alexandria via LeMat-Bulk.

Results
ΔE to the lowest computed polymorph = 0.266 eV per atom
Calculated formation energy = 0.107 eV/atom

Unit cell a=5.515 b=5.515 c=5.515 alpha=90.00 beta=90.00 gamma=90.00
Fractional positions:
Na 0.500 0.000 0.000
Ga 0.500 0.500 0.500
Na 0.000 0.500 0.000
Au 0.000 0.000 0.000
Na 0.000 0.000 0.500


9.
First-principles (PBE) data for crystalline K2SbTe at its relaxed geometry, as listed in Alexandria via LeMat-Bulk.

Results
ΔE to the lowest computed polymorph = 0.244 eV per atom
Energy relative to the elements, uncorrected = -115 kJ/mol of formula units

Unit cell a=11.365 b=11.365 c=11.365 alpha=19.38 beta=19.38 gamma=19.38
Each line ends with the local moment (μB).
Fractional positions:
K 0.498 0.498 0.498  0.00
Te 0.750 0.750 0.750  0.00
K 0.002 0.002 0.002  0.00
Sb 0.250 0.250 0.250  0.07


10.
First-principles (PBE) data for crystalline NdSm5Y2 at its relaxed geometry, as listed in Alexandria via LeMat-Bulk.

Results
ΔE to the lowest computed polymorph = 0.000 eV per atom
Calculated formation energy = 0.015 eV/atom

Unit cell a=5.109 b=7.249 c=14.495 alpha=90.00 beta=90.00 gamma=90.00
Fractional positions:
Sm 0.500 0.249 0.875
Sm 0.000 0.500 0.500
Sm 0.500 0.251 0.375
Nd 0.000 0.500 0.000
Y 0.500 0.750 0.375
Y 0.500 0.250 0.125
Y 0.500 0.250 0.625
Sm 0.000 0.999 0.750
Sm 0.000 0.000 0.000
Sm 0.500 0.749 0.625
Nd 0.000 0.000 0.500
Sm 0.500 0.751 0.125
Sm 0.000 0.001 0.250
Sm 0.000 0.501 0.250
Y 0.500 0.750 0.875
Sm 0.000 0.499 0.750